# Hf2Be2Ir

A crystal of Hf2Be2Ir relaxed with PBEsol (SCAN, Alexandria).

Calculated values
- formation energy from the elements (eV per atom) = -0.67
- space-group type = P4/mbm, No. 127
- total DFT energy (no corrections) (eV per cell) = -417.0
- DOS(E_F) (states/eV per atom) = 0.5590

Lattice parameters (Å, degrees): 6.349 6.349 3.481 90.00 90.00 90.00
Sites, in units of the cell vectors:
Hf 0.178 0.322 0.000
Hf 0.322 0.822 0.000
Hf 0.678 0.178 0.000
Hf 0.822 0.678 0.000
Be 0.120 0.620 0.500
Be 0.380 0.120 0.500
Be 0.620 0.880 0.500
Be 0.880 0.380 0.500
Ir 0.000 0.000 0.500
Ir 0.500 0.500 0.500



# KTcAsSe2

A crystal of KTcAsSe2 relaxed with PBEsol (SCAN, Alexandria).

Calculated values
- space-group type = P4/mmm, No. 123
- total DFT energy (no corrections) (eV per cell) = -104.6
- DOS(E_F) (states/eV per atom) = 0.7301

Lattice parameters (Å, degrees): 5.055 5.055 4.696 90.00 90.00 90.00
Sites, in units of the cell vectors:
K 0.000 0.000 0.000
Tc 0.500 0.500 0.500
As 0.500 0.500 0.000
Se 0.000 0.500 0.500
Se 0.500 0.000 0.500



# YSiTc

A crystal of YSiTc relaxed with PBEsol (SCAN, Alexandria).

Calculated values
- space-group type = I4mm, No. 107
- total DFT energy (no corrections) (eV per cell) = -148.8
- energy above the most stable polymorph in this dataset (meV per atom) = 0
- DOS(E_F) (states/eV per atom) = 0.2512

Lattice parameters (Å, degrees): 3.251 3.251 10.017 90.00 90.00 90.00
Sites, in units of the cell vectors:
Y 0.000 0.000 0.000
Y 0.500 0.500 0.500
Si 0.000 0.000 0.704
Si 0.500 0.500 0.204
Tc 0.000 0.000 0.299
Tc 0.500 0.500 0.799